(1)
Computed, not measured: a geometry-optimized FeTc4 structure at the GGA-PBE level of DFT.

Cell: 3.836 4.687 4.687 Å, 99.64 114.15 65.85°
Fractional coordinates of all 5 atoms:
Tc: 0.403 0.392 0.198
Tc: 0.795 0.802 0.392
Tc: 0.597 0.608 0.802
Tc: 0.205 0.198 0.608
Fe: 0.000 0.000 0.000

Energy above the lowest structure with this stoichiometry   5.9 meV/atom
Calculated formation energy   90 meV per atom
Space-group type   I4/m
Final energy   -9.895 eV/atom
DOS(E_F)   5.655 states/eV/f.u.


(2)
Computed, not measured: a geometry-optimized ErTm4Te2 structure at the GGA-PBE level of DFT.

Cell: 5.361 5.361 9.311 Å, 73.27 73.27 60.00°
Fractional coordinates of all 7 atoms:
Te: 0.382 0.382 0.855
Te: 0.618 0.618 0.145
Tm: 0.866 0.866 0.403
Tm: 0.264 0.264 0.209
Tm: 0.736 0.736 0.791
Tm: 0.134 0.134 0.597
Er: 0.500 0.500 0.500

Space-group type   R-3m
Energy relative to the elements, uncorrected   -460.8 meV per atom
Final energy   -4.565 eV/atom
DOS(E_F)   5.159 states/eV/f.u.


(3)
Computed, not measured: a geometry-optimized LaIn2Ir structure at the GGA-PBE level of DFT.

Cell: 3.423 3.423 7.815 Å, 90.00 90.00 90.02°
Fractional coordinates of all 4 atoms:
In: 0.000 0.000 0.444
In: 0.000 0.000 0.056
Ir: 0.500 0.500 0.250
La: 0.500 0.500 0.750

Calculated formation energy   -246 meV per atom
Space-group type   P4/mmm
Final energy   -5.063 eV/atom
DOS(E_F)   4.107 states/eV/f.u.


(4)
Computed, not measured: a geometry-optimized GdMgCuIr structure at the GGA-PBE level of DFT.

Cell: 4.719 4.719 4.719 Å, 60.00 60.00 60.00°
Fractional coordinates of all 4 atoms:
Ir: 0.250 0.250 0.250
Cu: 0.750 0.750 0.750
Gd: 0.000 0.000 0.000
Mg: 0.500 0.500 0.500

Calculated formation energy   -374 meV per atom
Space-group type   F-43m
Final energy   -7.532 eV/atom
DOS(E_F)   2.582 states/eV/f.u.


(5)
Computed, not measured: a geometry-optimized Ta2AlNi3 structure at the GGA-PBE level of DFT.

Cell: 4.913 4.913 7.756 Å, 90.00 90.00 120.00°
Fractional coordinates of all 12 atoms:
Ta: 0.333 0.667 0.556
Ta: 0.667 0.333 0.056
Ta: 0.667 0.333 0.444
Ta: 0.333 0.667 0.944
Ni: 0.828 0.172 0.750
Ni: 0.172 0.343 0.250
Ni: 0.828 0.657 0.750
Ni: 0.343 0.172 0.750
Ni: 0.657 0.828 0.250
Ni: 0.172 0.828 0.250
Al: 0.000 0.000 0.000
Al: 0.000 0.000 0.500

Calculated formation energy   -366 meV per atom
Space-group type   P6_3/mmc
Final energy   -7.832 eV/atom
DOS(E_F)   7.374 states/eV/f.u.


(6)
Computed, not measured: a geometry-optimized TlSbIr2 structure at the GGA-PBE level of DFT.

Cell: 4.748 4.748 4.748 Å, 60.00 60.00 60.00°
Fractional coordinates of all 4 atoms:
Sb: 0.500 0.500 0.500
Ir: 0.250 0.250 0.250
Ir: 0.000 0.000 0.000
Tl: 0.750 0.750 0.750

Energy above the lowest structure with this stoichiometry   359.5 meV/atom
Space-group type   F-43m
Energy relative to the elements, uncorrected   675.9 meV per atom
Final energy   -5.377 eV/atom
DOS(E_F)   2.167 states/eV/f.u.


(7)
Computed, not measured: a geometry-optimized ZnCr2Ni structure at the GGA-PBE level of DFT.

Cell: 4.015 2.449 5.376 Å, 63.90 90.00 90.00°
Fractional coordinates of all 4 atoms:
Cr: 0.000 0.987 0.015
Cr: 0.000 0.513 0.485
Ni: 0.500 0.250 0.250
Zn: 0.500 0.750 0.750

Calculated formation energy   135 meV per atom
Space-group type   P2/m
Final energy   -6.440 eV/atom
DOS(E_F)   4.813 states/eV/f.u.


(8)
Computed, not measured: a geometry-optimized LiPa2Zn3N6 structure at the GGA-PBE level of DFT.

Cell: 3.599 7.136 6.559 Å, 102.22 105.92 90.00°
Fractional coordinates of all 12 atoms:
N: 0.325 0.890 0.649
N: 0.675 0.110 0.351
N: 0.013 0.750 0.026
N: 0.664 0.520 0.328
N: 0.336 0.480 0.672
N: 0.987 0.250 0.974
Li: 0.500 0.000 0.000
Zn: 0.836 0.126 0.672
Zn: 0.164 0.874 0.328
Zn: 0.500 0.500 0.000
Pa: 0.841 0.687 0.682
Pa: 0.159 0.313 0.318

Space-group type   C2/m
Energy relative to the elements, uncorrected   -618.7 meV per atom
Final energy   -6.842 eV/atom
DOS(E_F)   7.783 states/eV/f.u.


(9)
Computed, not measured: a geometry-optimized KSr3Ir structure at the GGA-PBE level of DFT.

Cell: 15.113 11.527 11.527 Å, 98.01 131.72 48.28°
Fractional coordinates of all 20 atoms:
Ir: 0.525 0.294 0.937
Ir: 0.475 0.706 0.063
Ir: 0.975 0.437 0.794
Ir: 0.025 0.563 0.206
K: 0.750 0.034 0.534
K: 0.250 0.447 0.947
K: 0.750 0.553 0.053
K: 0.250 0.966 0.466
Sr: 0.247 0.839 0.076
Sr: 0.280 0.686 0.738
Sr: 0.737 0.659 0.411
Sr: 0.237 0.089 0.841
Sr: 0.763 0.911 0.159
Sr: 0.263 0.341 0.589
Sr: 0.253 0.576 0.339
Sr: 0.780 0.762 0.814
Sr: 0.220 0.238 0.186
Sr: 0.720 0.314 0.262
Sr: 0.747 0.424 0.661
Sr: 0.753 0.161 0.924

Energy above the lowest structure with this stoichiometry   88.1 meV/atom
Calculated formation energy   -12 meV per atom
Space-group type   C2/c
Final energy   -3.013 eV/atom
DOS(E_F)   2.372 states/eV/f.u.


(10)
Computed, not measured: a geometry-optimized Li2CrOs structure at the GGA-PBE level of DFT.

Cell: 9.522 9.522 9.522 Å, 15.66 15.66 15.66°
Fractional coordinates of all 4 atoms:
Li: 0.502 0.502 0.502
Li: 0.998 0.998 0.998
Os: 0.250 0.250 0.250
Cr: 0.750 0.750 0.750

Energy above the lowest structure with this stoichiometry   121.0 meV/atom
Calculated formation energy   364 meV per atom
Space-group type   R-3m
Final energy   -5.806 eV/atom
DOS(E_F)   2.357 states/eV/f.u.


(11)
Computed, not measured: a geometry-optimized TlInBrF2 structure at the GGA-PBE level of DFT.

Cell: 4.612 4.612 5.884 Å, 90.00 90.00 90.00°
Fractional coordinates of all 5 atoms:
F: 0.500 0.000 0.000
F: 0.000 0.500 0.000
Br: 0.000 0.000 0.500
Tl: 0.500 0.500 0.500
In: 0.000 0.000 0.000

Space-group type   P4/mmm
Energy relative to the elements, uncorrected   -1536.2 meV per atom
Final energy   -3.640 eV/atom
DOS(E_F)   0.853 states/eV/f.u.


(12)
Computed, not measured: a geometry-optimized BeSiRu2 structure at the GGA-PBE level of DFT.

Cell: 6.109 6.109 5.162 Å, 53.72 53.72 90.00°
Fractional coordinates of all 8 atoms:
Ru: 0.135 0.625 0.250
Ru: 0.875 0.865 0.750
Ru: 0.615 0.125 0.250
Ru: 0.375 0.385 0.750
Si: 0.000 0.000 0.000
Si: 0.750 0.250 0.500
Be: 0.250 0.750 0.500
Be: 0.500 0.500 0.000

Energy above the lowest structure with this stoichiometry   682.2 meV/atom
Space-group type   I-42d
Energy relative to the elements, uncorrected   125.7 meV per atom
Final energy   -6.800 eV/atom
DOS(E_F)   3.587 states/eV/f.u.


(13)
Computed, not measured: a geometry-optimized CsTh4Se8 structure at the GGA-PBE level of DFT.

Cell: 8.228 8.228 19.052 Å, 90.00 90.00 120.00°
Fractional coordinates of all 26 atoms:
Th: 0.000 0.000 0.250
Th: 0.497 0.503 0.750
Th: 0.994 0.497 0.250
Th: 0.503 0.497 0.250
Th: 0.006 0.503 0.750
Th: 0.497 0.994 0.750
Th: 0.503 0.006 0.250
Th: 0.000 0.000 0.750
Cs: 0.000 0.000 0.000
Cs: 0.000 0.000 0.500
Se: 0.328 0.164 0.344
Se: 0.836 0.672 0.344
Se: 0.164 0.836 0.844
Se: 0.672 0.836 0.844
Se: 0.333 0.667 0.342
Se: 0.672 0.836 0.656
Se: 0.667 0.333 0.658
Se: 0.836 0.164 0.344
Se: 0.836 0.164 0.156
Se: 0.164 0.328 0.656
Se: 0.836 0.672 0.156
Se: 0.667 0.333 0.842
Se: 0.333 0.667 0.158
Se: 0.164 0.328 0.844
Se: 0.328 0.164 0.156
Se: 0.164 0.836 0.656

Space-group type   P6_3/mmc
Energy relative to the elements, uncorrected   -1536.3 meV per atom
Final energy   -6.029 eV/atom
DOS(E_F)   5.421 states/eV/f.u.


(14)
Computed, not measured: a geometry-optimized Lu2AlCr structure at the GGA-PBE level of DFT.

Cell: 3.458 3.458 7.173 Å, 90.00 90.00 90.00°
Fractional coordinates of all 4 atoms:
Cr: 0.500 0.500 0.000
Lu: 0.000 0.000 0.762
Lu: 0.000 0.000 0.238
Al: 0.500 0.500 0.500

Energy above the lowest structure with this stoichiometry   0.0 meV/atom
Calculated formation energy   -53 meV per atom
Space-group type   P4/mmm
Final energy   -5.655 eV/atom
DOS(E_F)   2.793 states/eV/f.u.